(1)
Compound: Ho3Zn4Ru2
Source: Alexandria via LeMat-Bulk
Functional: PBE
Structure: optimized geometry

a = 5.393 Å, b = 5.393 Å, c = 8.401 Å
α = 109.57°, β = 109.57°, γ = 50.09°
Atoms (fractional coordinates):
Ho  0.000  0.000  0.000
Ho  0.351  0.351  0.316
Ho  0.649  0.649  0.684
Zn  0.076  0.076  0.398
Zn  0.287  0.287  0.937
Zn  0.713  0.713  0.063
Zn  0.924  0.924  0.602
Ru  0.337  0.337  0.660
Ru  0.663  0.663  0.340

Spin magnetization: 0.000 μB/cell
Final energy: -4.466 eV per atom
Energy of formation: -0.313 eV/atom

(2)
Compound: Ho6ZnRu
Source: Alexandria via LeMat-Bulk
Functional: PBE
Structure: optimized geometry

a = 6.660 Å, b = 6.666 Å, c = 7.370 Å
α = 63.18°, β = 63.23°, γ = 60.04°
Atoms (fractional coordinates):
Ho  0.058  0.420  0.252
Ho  0.230  0.943  0.748
Ho  0.420  0.770  0.252
Ho  0.580  0.230  0.748
Ho  0.770  0.057  0.252
Ho  0.942  0.580  0.748
Zn  0.500  0.500  0.000
Ru  0.000  0.000  0.500

Spin magnetization: 0.000 μB/cell
Final energy: -4.787 eV per atom
Energy above the lowest structure with this stoichiometry: 0.1338 eV/atom
Energy of formation: -0.035 eV/atom

(3)
Compound: Ho5ZnRu4
Source: Alexandria via LeMat-Bulk
Functional: PBE
Structure: optimized geometry

a = 3.403 Å, b = 3.403 Å, c = 17.316 Å
α = 90.00°, β = 90.00°, γ = 90.00°
Atoms (fractional coordinates):
Ho  0.000  0.000  0.000
Ho  0.000  0.000  0.194
Ho  0.000  0.000  0.387
Ho  0.000  0.000  0.613
Ho  0.000  0.000  0.806
Zn  0.500  0.500  0.500
Ru  0.500  0.500  0.098
Ru  0.500  0.500  0.296
Ru  0.500  0.500  0.704
Ru  0.500  0.500  0.902

Spin magnetization: 0.000 μB/cell
Final energy: -6.518 eV per atom
Energy of formation: -0.392 eV/atom

(4)
Compound: Ho2ZnRu
Source: Alexandria via LeMat-Bulk
Functional: PBE
Structure: optimized geometry

a = 4.891 Å, b = 4.891 Å, c = 4.891 Å
α = 60.00°, β = 60.00°, γ = 60.00°
Atoms (fractional coordinates):
Ho  0.250  0.250  0.250
Ho  0.750  0.750  0.750
Zn  0.000  0.000  0.000
Ru  0.500  0.500  0.500

Spin magnetization: 0.000 μB/cell
Final energy: -5.305 eV per atom
Energy above the lowest structure with this stoichiometry: 0.0415 eV/atom
Energy of formation: -0.379 eV/atom

(5)
Compound: Ho5Zn4Ru
Source: Alexandria via LeMat-Bulk
Functional: PBE
Structure: optimized geometry

a = 3.501 Å, b = 3.501 Å, c = 17.799 Å
α = 90.00°, β = 90.00°, γ = 90.00°
Atoms (fractional coordinates):
Ho  0.000  0.000  0.000
Ho  0.000  0.000  0.202
Ho  0.000  0.000  0.409
Ho  0.000  0.000  0.591
Ho  0.000  0.000  0.798
Zn  0.500  0.500  0.101
Zn  0.500  0.500  0.302
Zn  0.500  0.500  0.698
Zn  0.500  0.500  0.899
Ru  0.500  0.500  0.500

Spin magnetization: 0.000 μB/cell
Final energy: -4.102 eV per atom
Energy of formation: -0.376 eV/atom

(6)
Compound: Ho6ZnRu
Source: Alexandria via LeMat-Bulk
Functional: PBE
Structure: optimized geometry

a = 9.260 Å, b = 9.260 Å, c = 9.260 Å
α = 149.04°, β = 149.04°, γ = 44.35°
Atoms (fractional coordinates):
Ho  0.097  0.597  0.500
Ho  0.249  0.249  0.000
Ho  0.403  0.903  0.500
Ho  0.597  0.097  0.500
Ho  0.751  0.751  0.000
Ho  0.903  0.403  0.500
Zn  0.000  0.000  0.000
Ru  0.500  0.500  0.000

Spin magnetization: 0.000 μB/cell
Final energy: -4.920 eV per atom
Energy above the lowest structure with this stoichiometry: 0.0000 eV/atom
Energy of formation: -0.168 eV/atom

Question: What is the formula in the first record?
Answer: Ho3Zn4Ru2